[1]
K3Mg2SnF9 PBE relaxed; space group = P-3m1; total magnetization = 0.00 μB per cell
1.0
5.948 0.000 0.000
-2.974 5.151 0.000
0.000 0.000 7.632
K Mg Sn F
3 2 1 9
Cartesian
0.000 0.000 0.000
0.000 3.434 5.306
2.974 1.717 2.326
0.000 3.434 1.134
2.974 1.717 6.498
0.000 0.000 3.816
-1.487 2.575 0.000
0.000 1.812 2.305
-1.405 4.245 2.305
1.569 0.906 5.327
2.974 0.000 0.000
1.487 2.575 0.000
1.405 4.245 2.305
4.378 0.906 5.327
2.974 3.339 5.327



[2]
K2TbMg3F12 PBE relaxed; space group = R-3m; total magnetization = 1.17 μB per cell
1.0
3.827 2.210 6.347
-3.827 2.210 6.347
0.000 -4.419 6.347
K Tb Mg F
2 1 3 12
Cartesian
0.000 0.000 3.547
0.000 0.000 15.493
0.000 0.000 9.520
-1.914 -1.105 6.347
-1.914 1.105 12.694
0.000 2.210 6.347
-1.610 -0.929 8.335
0.000 -1.568 6.014
-1.358 0.784 6.014
0.000 -1.859 10.706
-1.610 0.929 10.706
-1.358 -0.784 13.027
1.358 0.784 6.014
1.610 -0.929 8.335
0.000 1.859 8.335
1.358 -0.784 13.027
0.000 1.568 13.027
1.610 0.929 10.706



Number 1: E_tot -72.2 eV/cell, formation energy from raw total energies -2990.9 meV/atom. Number 2: E_tot -93.0 eV/cell, formation energy from raw total energies -3276.7 meV/atom.